[1]
VASP calculation (PBE-GGA) on a geometry-optimized CsSrB2 structure.

Cell: 5.249 5.249 5.249 Å, 60.00 60.00 60.00°
Sites, in units of the cell vectors:
Cs 0.000 0.000 0.000
Sr 0.500 0.500 0.500
B 0.250 0.250 0.250
B 0.750 0.750 0.750

Calculated values
D(E_F) (states/eV/f.u.): 3.585
Formation energy (meV per atom): 1618
SG: Fm-3m, No. 225

=====

[2]
VASP calculation (PBE-GGA) on a geometry-optimized CsSrB12 structure.

Cell: 6.046 6.046 6.046 Å, 60.00 60.00 60.00°
Sites, in units of the cell vectors:
Cs 0.000 0.000 0.000
Sr 0.500 0.500 0.500
B 0.101 0.101 0.399
B 0.101 0.399 0.101
B 0.101 0.399 0.399
B 0.399 0.101 0.101
B 0.399 0.101 0.399
B 0.399 0.399 0.101
B 0.601 0.601 0.899
B 0.601 0.899 0.601
B 0.601 0.899 0.899
B 0.899 0.601 0.601
B 0.899 0.601 0.899
B 0.899 0.899 0.601

Calculated values
D(E_F) (states/eV/f.u.): 4.309
Formation energy (meV per atom): -139
SG: Fm-3m, No. 225

=====

[3]
VASP calculation (PBE-GGA) on a geometry-optimized Cs3SrB structure.

Cell: 8.663 8.663 8.663 Å, 90.00 90.00 90.00°
Sites, in units of the cell vectors:
Cs 0.000 0.000 0.500
Cs 0.000 0.500 0.000
Cs 0.500 0.000 0.000
Sr 0.000 0.000 0.000
B 0.500 0.500 0.500

Calculated values
D(E_F) (states/eV/f.u.): 6.018
Formation energy (meV per atom): 1445
SG: Pm-3m, No. 221

=====

[4]
VASP calculation (PBE-GGA) on a geometry-optimized Cs2TaB structure.

Cell: 9.921 9.921 9.921 Å, 92.66 92.66 155.14°
Sites, in units of the cell vectors:
Cs 0.375 0.065 0.190
Cs 0.815 0.625 0.690
Cs 0.875 0.185 0.810
Cs 0.935 0.125 0.310
Ta 0.250 0.750 0.500
Ta 0.500 0.500 0.000
B 0.000 0.000 0.000
B 0.750 0.250 0.500

Calculated values
D(E_F) (states/eV/f.u.): 0.993
Formation energy (meV per atom): 1297
SG: I-42d, No. 122

=====

[5]
VASP calculation (PBE-GGA) on a geometry-optimized CsTcB2 structure.

Cell: 6.534 6.534 6.534 Å, 120.05 120.05 89.91°
Sites, in units of the cell vectors:
Cs 0.375 0.625 0.750
Cs 0.625 0.375 0.250
Tc 0.125 0.875 0.250
Tc 0.875 0.125 0.750
B 0.000 0.000 0.000
B 0.000 0.000 0.500
B 0.000 0.500 0.000
B 0.500 0.000 0.500

Calculated values
D(E_F) (states/eV/f.u.): 1.167
Formation energy (meV per atom): 581
SG: I4_1/amd, No. 141

=====

[6]
VASP calculation (PBE-GGA) on a geometry-optimized CsTc3B structure.

Cell: 4.383 4.383 4.383 Å, 90.00 90.00 90.00°
Sites, in units of the cell vectors:
Cs 0.000 0.000 0.000
Tc 0.000 0.500 0.500
Tc 0.500 0.000 0.500
Tc 0.500 0.500 0.000
B 0.500 0.500 0.500

Calculated values
Excess energy over the best structure of this formula in the dataset (meV/atom): 0
D(E_F) (states/eV/f.u.): 4.423
Formation energy (meV per atom): 1380
SG: Pm-3m, No. 221

=====

[7]
VASP calculation (PBE-GGA) on a geometry-optimized CsTc3B structure.

Cell: 4.963 4.963 4.963 Å, 90.00 90.00 90.00°
Sites, in units of the cell vectors:
Cs 0.000 0.000 0.000
Tc 0.000 0.000 0.500
Tc 0.000 0.500 0.000
Tc 0.500 0.000 0.000
B 0.500 0.500 0.500

Calculated values
Excess energy over the best structure of this formula in the dataset (meV/atom): 2593
D(E_F) (states/eV/f.u.): 4.985
Formation energy (meV per atom): 3973
SG: Pm-3m, No. 221

=====

[8]
VASP calculation (PBE-GGA) on a geometry-optimized CsBTe3 structure.

Cell: 5.239 5.239 5.239 Å, 90.00 90.00 90.00°
Sites, in units of the cell vectors:
Cs 0.000 0.000 0.000
B 0.500 0.500 0.500
Te 0.000 0.500 0.500
Te 0.500 0.000 0.500
Te 0.500 0.500 0.000

Calculated values
Excess energy over the best structure of this formula in the dataset (meV/atom): 544
D(E_F) (states/eV/f.u.): 4.374
SG: Pm-3m, No. 221

=====

[9]
VASP calculation (PBE-GGA) on a geometry-optimized CsBTe3 structure.

Cell: 9.153 9.153 11.869 Å, 94.23 94.23 112.61°
Sites, in units of the cell vectors:
Cs 0.085 0.915 0.750
Cs 0.409 0.591 0.250
Cs 0.591 0.409 0.750
Cs 0.915 0.085 0.250
B 0.121 0.372 0.647
B 0.372 0.121 0.147
B 0.628 0.879 0.853
B 0.879 0.628 0.353
Te 0.119 0.815 0.365
Te 0.185 0.881 0.135
Te 0.219 0.544 0.798
Te 0.233 0.353 0.499
Te 0.353 0.233 0.999
Te 0.456 0.781 0.702
Te 0.544 0.219 0.298
Te 0.647 0.767 0.001
Te 0.767 0.647 0.501
Te 0.781 0.456 0.202
Te 0.815 0.119 0.865
Te 0.881 0.185 0.635

Calculated values
Excess energy over the best structure of this formula in the dataset (meV/atom): 0
SG: C2/c, No. 15

=====

[10]
VASP calculation (PBE-GGA) on a geometry-optimized Cs3BTe structure.

Cell: 6.263 6.263 6.263 Å, 90.00 90.00 90.00°
Sites, in units of the cell vectors:
Cs 0.000 0.000 0.500
Cs 0.000 0.500 0.000
Cs 0.500 0.000 0.000
B 0.000 0.000 0.000
Te 0.500 0.500 0.500

Calculated values
Excess energy over the best structure of this formula in the dataset (meV/atom): 0
D(E_F) (states/eV/f.u.): 6.233
SG: Pm-3m, No. 221

=====

[11]
VASP calculation (PBE-GGA) on a geometry-optimized Cs3BTe4 structure.

Cell: 9.740 9.740 9.740 Å, 144.12 133.04 60.48°
Sites, in units of the cell vectors:
Cs 0.000 0.000 0.000
Cs 0.294 0.794 0.500
Cs 0.706 0.206 0.500
B 0.500 0.500 0.000
Te 0.186 0.402 0.784
Te 0.381 0.598 0.784
Te 0.619 0.402 0.216
Te 0.814 0.598 0.216

Calculated values
DFT total energy (eV per atom): -3.02
D(E_F) (states/eV/f.u.): 5.187
SG: Immm, No. 71

=====

[12]
VASP calculation (PBE-GGA) on a geometry-optimized Cs4BTe4 structure.

Cell: 10.457 10.457 7.826 Å, 90.00 90.00 90.00°
Sites, in units of the cell vectors:
Cs 0.023 0.250 0.094
Cs 0.250 0.023 0.594
Cs 0.250 0.477 0.594
Cs 0.477 0.250 0.094
Cs 0.523 0.750 0.906
Cs 0.750 0.523 0.406
Cs 0.750 0.977 0.406
Cs 0.977 0.750 0.906
B 0.250 0.750 0.250
B 0.750 0.250 0.750
Te 0.060 0.750 0.404
Te 0.250 0.560 0.096
Te 0.250 0.940 0.096
Te 0.440 0.750 0.404
Te 0.560 0.250 0.596
Te 0.750 0.060 0.904
Te 0.750 0.440 0.904
Te 0.940 0.250 0.596

Calculated values
DFT total energy (eV per atom): -3.13
D(E_F) (states/eV/f.u.): 9.895
SG: P4_2/nmc, No. 137

=====

[13]
VASP calculation (PBE-GGA) on a geometry-optimized CsVB2Te structure.

Cell: 4.865 4.865 5.066 Å, 90.00 90.00 90.00°
Sites, in units of the cell vectors:
Cs 0.000 0.000 0.000
V 0.500 0.500 0.000
B 0.000 0.500 0.500
B 0.500 0.000 0.500
Te 0.500 0.500 0.500

Calculated values
DFT total energy (eV per atom): -3.26
D(E_F) (states/eV/f.u.): 7.268
SG: P4/mmm, No. 123

=====

[14]
VASP calculation (PBE-GGA) on a geometry-optimized CsTiB3 structure.

Cell: 4.524 4.524 4.524 Å, 90.00 90.00 90.00°
Sites, in units of the cell vectors:
Cs 0.000 0.000 0.000
Ti 0.500 0.500 0.500
B 0.000 0.000 0.500
B 0.000 0.500 0.000
B 0.500 0.000 0.000

Calculated values
Excess energy over the best structure of this formula in the dataset (meV/atom): 1722
D(E_F) (states/eV/f.u.): 7.337
Formation energy (meV per atom): 3328
SG: Pm-3m, No. 221

=====

[15]
VASP calculation (PBE-GGA) on a geometry-optimized CsTiB3 structure.

Cell: 4.620 4.620 4.620 Å, 90.00 90.00 90.00°
Sites, in units of the cell vectors:
Cs 0.000 0.000 0.000
Ti 0.500 0.500 0.500
B 0.000 0.500 0.500
B 0.500 0.000 0.500
B 0.500 0.500 0.000

Calculated values
Excess energy over the best structure of this formula in the dataset (meV/atom): 0
D(E_F) (states/eV/f.u.): 9.381
Formation energy (meV per atom): 1606
SG: Pm-3m, No. 221

=====

[16]
VASP calculation (PBE-GGA) on a geometry-optimized Cs3TiB structure.

Cell: 6.509 6.509 6.509 Å, 90.00 90.00 90.00°
Sites, in units of the cell vectors:
Cs 0.000 0.000 0.500
Cs 0.000 0.500 0.000
Cs 0.500 0.000 0.000
Ti 0.500 0.500 0.500
B 0.000 0.000 0.000

Calculated values
Excess energy over the best structure of this formula in the dataset (meV/atom): 0
D(E_F) (states/eV/f.u.): 14.302
Formation energy (meV per atom): 1700
SG: Pm-3m, No. 221

=====

[17]
VASP calculation (PBE-GGA) on a geometry-optimized CsTi2BW structure.

Cell: 4.765 4.765 6.868 Å, 90.00 90.00 90.00°
Sites, in units of the cell vectors:
Cs 0.000 0.000 0.000
Ti 0.000 0.500 0.500
Ti 0.500 0.000 0.500
B 0.500 0.500 0.000
W 0.000 0.000 0.500

Calculated values
D(E_F) (states/eV/f.u.): 9.606
Formation energy (meV per atom): 2214
SG: P4/mmm, No. 123

=====

[18]
VASP calculation (PBE-GGA) on a geometry-optimized CsY2TiB structure.

Cell: 5.606 5.606 4.871 Å, 90.00 90.00 90.00°
Sites, in units of the cell vectors:
Cs 0.000 0.000 0.000
Y 0.000 0.500 0.000
Y 0.500 0.000 0.000
Ti 0.000 0.000 0.500
B 0.500 0.500 0.500

Calculated values
D(E_F) (states/eV/f.u.): 6.006
Formation energy (meV per atom): 2380
SG: P4/mmm, No. 123

=====

[19]
VASP calculation (PBE-GGA) on a geometry-optimized CsTiZnB2 structure.

Cell: 4.435 4.435 6.348 Å, 90.00 90.00 90.00°
Sites, in units of the cell vectors:
Cs 0.000 0.000 0.000
Ti 0.000 0.000 0.500
Zn 0.500 0.500 0.000
B 0.000 0.500 0.500
B 0.500 0.000 0.500

Calculated values
D(E_F) (states/eV/f.u.): 6.026
Formation energy (meV per atom): 1566
SG: P4/mmm, No. 123

=====

[20]
VASP calculation (PBE-GGA) on a geometry-optimized CsTl2B structure.

Cell: 7.417 7.417 7.417 Å, 119.55 119.55 90.79°
Sites, in units of the cell vectors:
Cs 0.375 0.625 0.750
Cs 0.625 0.375 0.250
Tl 0.000 0.000 0.000
Tl 0.000 0.000 0.500
Tl 0.000 0.500 0.000
Tl 0.500 0.000 0.500
B 0.125 0.875 0.250
B 0.875 0.125 0.750

Calculated values
Excess energy over the best structure of this formula in the dataset (meV/atom): 0
D(E_F) (states/eV/f.u.): 2.550
Formation energy (meV per atom): 568
SG: I4_1/amd, No. 141